GGA-PBE SrLu2, optimized geometry; formation energy = 0.26 eV per atom; space group = Fd-3m (227)
1.0
-0.508 6.839 0.144
-4.051 3.234 -4.492
-5.807 2.963 2.133
Lu Sr
4 2
direct
0.625 0.625 0.125
0.625 0.625 0.625
0.125 0.625 0.625
0.625 0.125 0.625
0.000 0.000 0.000
0.250 0.250 0.250

GGA-PBE Ba2ZrRe, optimized geometry; formation energy = 1.07 eV per atom; space group = I-4m2 (119)
1.0
5.383 -0.059 0.000
-0.006 5.383 0.000
-2.688 -2.662 3.830
Zr Ba Re
1 2 1
direct
0.750 0.250 0.500
0.000 0.000 0.000
0.250 0.750 0.500
0.500 0.500 0.000

| no. | electronic total energy (eV per atom) |
| --- | --- |
| 1 | -3.3112 |
| 2 | -5.1398 |